No. 1
Below is a relaxed TeBrF2 crystal, with properties calculated at the GGA-PBEsol level.

E above lowest polymorph = 0.0627 eV/atom
D(E_F) = 2.677 states/eV/f.u.
crystal system = trigonal
formation energy from raw total energies = -0.53 eV per atom

Cell: 8.503 8.503 8.503 Å, 21.93 21.93 21.93°
Fractional positions:
Te  0.000  0.000  0.000
Br  0.500  0.500  0.500
F  0.421  0.421  0.421
F  0.579  0.579  0.579

---

No. 2
Below is a relaxed Te2BrF2 crystal, with properties calculated at the GGA-PBEsol level.

D(E_F) = 1.807 states/eV/f.u.
crystal system = tetragonal
formation energy from raw total energies = -0.71 eV per atom

Cell: 7.624 7.624 3.157 Å, 90.00 90.00 90.00°
Fractional positions:
Te  0.132  0.368  0.000
Te  0.368  0.868  0.000
Te  0.632  0.132  0.000
Te  0.868  0.632  0.000
Br  0.000  0.000  0.000
Br  0.500  0.500  0.000
F  0.168  0.668  0.500
F  0.332  0.168  0.500
F  0.668  0.832  0.500
F  0.832  0.332  0.500

---

No. 3
Below is a relaxed TeBrF2 crystal, with properties calculated at the GGA-PBEsol level.

E above lowest polymorph = 0.0000 eV/atom
D(E_F) = 2.794 states/eV/f.u.
crystal system = cubic
formation energy from raw total energies = -0.59 eV per atom

Cell: 4.411 4.411 4.411 Å, 60.00 60.00 60.00°
Fractional positions:
Te  0.000  0.000  0.000
Br  0.500  0.500  0.500
F  0.250  0.250  0.250
F  0.750  0.750  0.750